Record 1
Material: LaNiTe
Method: DFT, GGA-PBE
State: optimized geometry

The structure in extended XYZ format:
```
3
Lattice="4.336 0.000 0.000 -2.168 3.755 0.000 0.000 0.000 4.366" Properties=species:S:1:pos:R:3 pbc="T T T"
La 0.000 0.000 0.000
Ni 2.168 1.252 1.958
Te 0.000 2.503 2.187
```

Computed properties:
symmetry	No. 156
spin magnetization	0.0000	μB/atom
ΔE_f (raw)	-0.963	eV/atom

***

Record 2
Material: Np2SbPd9
Method: DFT, GGA-PBE
State: optimized geometry

The structure in extended XYZ format:
```
12
Lattice="4.129 0.000 0.000 0.000 4.129 0.000 0.000 0.000 12.262" Properties=species:S:1:pos:R:3 pbc="T T T"
Np 0.000 0.000 2.081
Np 0.000 0.000 10.181
Sb 0.000 0.000 6.131
Pd 0.000 2.064 0.000
Pd 0.000 2.064 4.130
Pd 0.000 2.064 8.131
Pd 2.064 0.000 0.000
Pd 2.064 0.000 4.130
Pd 2.064 0.000 8.131
Pd 2.064 2.064 2.084
Pd 2.064 2.064 6.131
Pd 2.064 2.064 10.178
```

Computed properties:
symmetry	No. 123
spin magnetization	0.5553	μB/atom
ΔE_f (raw)	-0.410	eV/atom

***

Record 3
Material: KH2
Method: DFT, GGA-PBE
State: optimized geometry

The structure in extended XYZ format:
```
9
Lattice="0.000 3.991 3.991 3.991 0.000 3.991 3.991 3.991 0.000" Properties=species:S:1:pos:R:3 pbc="T T T"
K 0.000 0.000 0.000
K 1.996 1.996 1.996
K 5.987 5.987 5.987
H 3.991 3.991 2.858
H 3.991 2.858 3.991
H 5.125 3.991 3.991
H 2.858 3.991 3.991
H 3.991 5.125 3.991
H 3.991 3.991 5.125
```

Computed properties:
symmetry	No. 225
spin magnetization	0.0000	μB/atom
polymorph energy (0 for the lowest one)	0.641	eV/atom

***

Record 4
Material: Na5InGa
Method: DFT, GGA-PBE
State: optimized geometry

The structure in extended XYZ format:
```
14
Lattice="5.913 -5.983 0.000 5.913 5.983 0.000 -1.720 0.000 5.732" Properties=species:S:1:pos:R:3 pbc="T T T"
Na 3.947 2.273 1.008
Na 1.939 0.849 3.429
Na 4.623 3.263 4.299
Na 2.798 -0.849 0.563
Na 7.019 2.273 1.858
Na 3.087 -2.273 3.875
Na 7.307 0.849 5.169
Na 5.483 -3.263 1.433
Na 8.167 -0.849 2.303
Na 6.159 -2.273 4.724
In 5.483 5.257 1.433
In 4.623 -5.257 4.299
Ga 5.913 0.000 0.000
Ga 5.053 0.000 2.866
```

Computed properties:
symmetry	No. 15
formation enthalpy at 0 K	-0.17	eV per formula unit
spin magnetization	0.0000	μB/atom

***

Record 5
Material: VGe2Se4
Method: DFT, GGA-PBE
State: optimized geometry

The structure in extended XYZ format:
```
7
Lattice="1.832 1.058 14.019 -1.832 1.058 14.019 0.000 -2.115 14.019" Properties=species:S:1:pos:R:3 pbc="T T T"
V 0.000 0.000 0.000
Ge 0.000 0.000 10.187
Ge 0.000 0.000 31.871
Se 0.000 0.000 5.263
Se 0.000 0.000 15.469
Se 0.000 0.000 26.589
Se 0.000 0.000 36.795
```

Computed properties:
symmetry	No. 166
spin magnetization	0.2051	μB/atom
polymorph energy (0 for the lowest one)	0.000	eV/atom
ΔE_f (raw)	-0.407	eV/atom

***

Record 6
Material: AlIrRh4
Method: DFT, GGA-PBE
State: optimized geometry

The structure in extended XYZ format:
```
6
Lattice="0.000 3.580 3.580 3.580 0.000 3.580 3.580 3.580 0.000" Properties=species:S:1:pos:R:3 pbc="T T T"
Al 0.000 0.000 0.000
Ir 1.790 1.790 1.790
Rh 4.474 2.686 2.686
Rh 2.686 4.474 2.686
Rh 2.686 2.686 4.474
Rh 4.474 4.474 4.474
```

Computed properties:
symmetry	No. 216
formation enthalpy at 0 K	1.56	eV per formula unit
spin magnetization	0.0012	μB/atom

***

Record 7
Material: KScW2
Method: DFT, GGA-PBE
State: optimized geometry

The structure in extended XYZ format:
```
12
Lattice="2.928 0.000 0.000 -1.464 2.535 0.000 0.000 0.000 33.373" Properties=species:S:1:pos:R:3 pbc="T T T"
K 0.000 0.000 0.000
K 0.000 1.690 22.249
K 1.464 0.845 11.124
Sc 0.000 0.000 16.687
Sc 0.000 1.690 5.562
Sc 1.464 0.845 27.811
W 0.000 0.000 8.008
W 0.000 0.000 25.366
W 0.000 1.690 14.241
W 0.000 1.690 30.256
W 1.464 0.845 3.117
W 1.464 0.845 19.132
```

Computed properties:
symmetry	No. 166
formation enthalpy at 0 K	3.87	eV per formula unit
spin magnetization	0.0000	μB/atom
polymorph energy (0 for the lowest one)	0.343	eV/atom

***

Record 8
Material: PrMgPbAu
Method: DFT, GGA-PBE
State: optimized geometry

The structure in extended XYZ format:
```
16
Lattice="7.408 0.000 0.000 0.000 7.408 0.000 0.000 0.000 7.408" Properties=species:S:1:pos:R:3 pbc="T T T"
Pr 0.000 0.000 0.000
Pr 0.000 3.704 3.704
Pr 3.704 0.000 3.704
Pr 3.704 3.704 0.000
Mg 0.000 0.000 3.704
Mg 0.000 3.704 0.000
Mg 3.704 0.000 0.000
Mg 3.704 3.704 3.704
Pb 1.852 1.852 5.556
Pb 1.852 5.556 1.852
Pb 5.556 1.852 1.852
Pb 5.556 5.556 5.556
Au 1.852 1.852 1.852
Au 1.852 5.556 5.556
Au 5.556 1.852 5.556
Au 5.556 5.556 1.852
```

Computed properties:
symmetry	No. 216
formation enthalpy at 0 K	-2.03	eV per formula unit
spin magnetization	0.0000	μB/atom

***

Record 9
Material: BTePbI2
Method: DFT, GGA-PBE
State: optimized geometry

The structure in extended XYZ format:
```
5
Lattice="6.517 0.000 0.000 0.000 6.517 0.000 0.000 0.000 6.626" Properties=species:S:1:pos:R:3 pbc="T T T"
B 0.000 0.000 0.000
Te 3.258 3.258 0.000
Pb 3.258 3.258 3.313
I 0.000 3.258 3.313
I 3.258 0.000 3.313
```

Computed properties:
symmetry	No. 123
spin magnetization	0.1945	μB/atom
polymorph energy (0 for the lowest one)	0.653	eV/atom
ΔE_f (raw)	1.150	eV/atom

***

Record 10
Material: AcFeC
Method: DFT, GGA-PBE
State: optimized geometry

The structure in extended XYZ format:
```
6
Lattice="5.432 0.000 0.000 0.000 3.721 0.000 -2.711 0.000 5.448" Properties=species:S:1:pos:R:3 pbc="T T T"
Ac 0.003 0.930 1.642
Ac 2.718 2.791 3.806
Fe 0.002 0.930 4.665
Fe 2.719 2.791 0.783
C 0.000 2.791 4.324
C 2.720 0.930 1.124
```

Computed properties:
symmetry	No. 11
formation enthalpy at 0 K	-0.13	eV per formula unit
spin magnetization	0.0000	μB/atom
polymorph energy (0 for the lowest one)	0.010	eV/atom

***

Record 11
Material: Ac2Ge6Pt3
Method: DFT, GGA-PBE
State: optimized geometry

The structure in extended XYZ format:
```
11
Lattice="7.816 0.000 0.000 -3.908 6.768 0.000 0.000 0.000 4.478" Properties=species:S:1:pos:R:3 pbc="T T T"
Ac 0.000 4.512 0.000
Ac 3.908 2.256 0.000
Ge -1.310 2.269 2.239
Ge -3.147 5.452 0.000
Ge 0.760 1.317 0.000
Ge 2.620 0.000 2.239
Ge 2.598 4.499 2.239
Ge 6.295 0.000 0.000
Pt -2.586 4.480 2.239
Pt 1.321 2.289 2.239
Pt 5.173 0.000 2.239
```

Computed properties:
symmetry	No. 189
formation enthalpy at 0 K	-7.86	eV per formula unit
spin magnetization	0.0000	μB/atom

***

Record 12
Material: ErCo2Ge4
Method: DFT, GGA-PBE
State: optimized geometry

The structure in extended XYZ format:
```
28
Lattice="16.820 0.000 0.000 0.000 4.027 0.000 0.000 0.000 6.481" Properties=species:S:1:pos:R:3 pbc="T T T"
Er 2.378 1.007 0.064
Er 6.032 3.020 3.305
Er 10.788 1.007 3.176
Er 14.442 3.020 6.417
Co 0.578 3.020 4.854
Co 3.559 1.007 3.170
Co 4.851 3.020 6.410
Co 7.832 1.007 1.614
Co 8.988 3.020 4.867
Co 11.969 1.007 0.071
Co 13.261 3.020 3.311
Co 16.242 1.007 1.627
Ge 0.488 3.020 0.877
Ge 1.125 1.007 3.376
Ge 3.038 3.020 4.532
Ge 3.333 3.020 1.859
Ge 5.077 1.007 5.100
Ge 5.372 1.007 1.292
Ge 7.285 3.020 0.136
Ge 7.922 1.007 4.117
Ge 8.898 3.020 2.364
Ge 9.535 1.007 6.345
Ge 11.448 3.020 5.189
Ge 11.743 3.020 1.381
Ge 13.487 1.007 4.622
Ge 13.783 1.007 1.949
Ge 15.695 3.020 3.105
Ge 16.332 1.007 5.605
```

Computed properties:
symmetry	No. 62
formation enthalpy at 0 K	-3.00	eV per formula unit
spin magnetization	0.0000	μB/atom

***

Record 13
Material: HoTcB2
Method: DFT, GGA-PBE
State: optimized geometry

The structure in extended XYZ format:
```
12
Lattice="3.426 0.000 0.000 -1.713 2.967 0.000 0.000 0.000 15.999" Properties=species:S:1:pos:R:3 pbc="T T T"
Ho 0.000 0.000 0.000
Ho 0.000 1.978 10.666
Ho 1.713 0.989 5.333
Tc 0.000 0.000 7.999
Tc 0.000 1.978 2.666
Tc 1.713 0.989 13.332
B 0.000 0.000 3.654
B 0.000 0.000 12.344
B 0.000 1.978 7.011
B 0.000 1.978 14.320
B 1.713 0.989 1.678
B 1.713 0.989 8.987
```

Computed properties:
symmetry	No. 166
formation enthalpy at 0 K	-0.51	eV per formula unit
spin magnetization	0.0000	μB/atom
polymorph energy (0 for the lowest one)	0.461	eV/atom

***

Record 14
Material: BiPb2Br2
Method: DFT, GGA-PBE
State: optimized geometry

The structure in extended XYZ format:
```
10
Lattice="7.447 0.000 0.000 0.000 4.300 0.000 -2.726 0.000 12.210" Properties=species:S:1:pos:R:3 pbc="T T T"
Bi 0.000 0.000 0.000
Bi 3.723 2.150 0.000
Pb 1.238 2.150 2.307
Pb -0.241 0.000 9.904
Pb 4.961 0.000 2.307
Pb 3.483 2.150 9.904
Br -1.484 2.150 8.126
Br 2.481 0.000 4.084
Br 2.240 0.000 8.126
Br 6.205 2.150 4.084
```

Computed properties:
symmetry	No. 12
spin magnetization	0.0000	μB/atom
ΔE_f (raw)	-0.376	eV/atom

***

Record 15
Material: DyAg6Cl12
Method: DFT, GGA-PBE
State: optimized geometry

The structure in extended XYZ format:
```
19
Lattice="5.422 3.130 6.075 -5.422 3.130 6.075 0.000 -6.260 6.075" Properties=species:S:1:pos:R:3 pbc="T T T"
Dy 0.000 0.000 0.000
Ag -1.000 -2.472 6.100
Ag -1.641 2.102 6.100
Ag -2.641 -0.370 12.124
Ag 2.641 0.370 6.100
Ag 1.641 -2.102 12.124
Ag 1.000 2.472 12.124
Cl -3.698 1.801 4.556
Cl 0.289 -4.103 4.556
Cl -2.034 -0.261 6.913
Cl -3.409 -2.301 13.668
Cl 1.243 -1.631 6.913
Cl -0.791 -1.892 11.312
Cl 0.791 1.892 6.913
Cl -1.243 1.631 11.312
Cl 3.409 2.301 4.556
Cl 2.034 0.261 11.312
Cl -0.289 4.103 13.668
Cl 3.698 -1.801 13.668
```

Computed properties:
symmetry	No. 148
spin magnetization	0.0000	μB/atom
ΔE_f (raw)	-0.778	eV/atom

***

Record 16
Material: Zn3GeIr
Method: DFT, GGA-PBE
State: optimized geometry

The structure in extended XYZ format:
```
5
Lattice="4.781 0.000 0.000 0.000 4.781 0.000 0.000 0.000 4.781" Properties=species:S:1:pos:R:3 pbc="T T T"
Zn 0.000 0.000 2.390
Zn 0.000 2.390 0.000
Zn 2.390 0.000 0.000
Ge 2.390 2.390 2.390
Ir 0.000 0.000 0.000
```

Computed properties:
symmetry	No. 221
formation enthalpy at 0 K	2.22	eV per formula unit
spin magnetization	0.0000	μB/atom
polymorph energy (0 for the lowest one)	0.469	eV/atom

***

Record 17
Material: FeRu2Cl
Method: DFT, GGA-PBE
State: optimized geometry

The structure in extended XYZ format:
```
12
Lattice="2.836 0.000 0.000 -1.418 2.456 0.000 0.000 0.000 24.833" Properties=species:S:1:pos:R:3 pbc="T T T"
Fe 0.000 0.000 0.000
Fe 0.000 1.637 16.555
Fe 1.418 0.819 8.278
Ru 0.000 0.000 12.426
Ru 0.000 0.000 18.726
Ru 0.000 1.637 4.148
Ru 0.000 1.637 10.448
Ru 1.418 0.819 2.171
Ru 1.418 0.819 20.704
Cl 0.000 0.000 6.513
Cl 0.000 1.637 23.068
Cl 1.418 0.819 14.790
```

Computed properties:
symmetry	No. 160
spin magnetization	0.7391	μB/atom
polymorph energy (0 for the lowest one)	0.014	eV/atom
ΔE_f (raw)	0.317	eV/atom

***

Record 18
Material: Ba2ZnCdRh
Method: DFT, GGA-PBE
State: optimized geometry

The structure in extended XYZ format:
```
5
Lattice="5.944 0.000 0.000 0.000 5.944 0.000 0.000 0.000 5.265" Properties=species:S:1:pos:R:3 pbc="T T T"
Ba 0.000 2.972 0.000
Ba 2.972 0.000 0.000
Zn 0.000 0.000 2.633
Cd 2.972 2.972 2.633
Rh 2.972 2.972 0.000
```

Computed properties:
symmetry	No. 123
formation enthalpy at 0 K	-0.46	eV per formula unit
spin magnetization	0.0000	μB/atom
polymorph energy (0 for the lowest one)	0.104	eV/atom

***

Record 19
Material: HfTi3Ni
Method: DFT, GGA-PBE
State: optimized geometry

The structure in extended XYZ format:
```
10
Lattice="6.210 0.000 0.000 -3.105 5.378 0.000 0.000 0.000 5.351" Properties=species:S:1:pos:R:3 pbc="T T T"
Hf 0.000 3.586 1.338
Hf 3.105 1.793 4.014
Ti 0.000 2.013 4.014
Ti -1.362 4.372 4.014
Ti 1.743 1.007 1.338
Ti 1.362 4.372 4.014
Ti 4.467 1.007 1.338
Ti 3.105 3.365 1.338
Ni 0.000 0.000 0.000
Ni 0.000 0.000 2.676
```

Computed properties:
symmetry	No. 194
formation enthalpy at 0 K	0.70	eV per formula unit
spin magnetization	0.0000	μB/atom
polymorph energy (0 for the lowest one)	0.000	eV/atom

***

Record 20
Material: GePdRh3
Method: DFT, GGA-PBE
State: optimized geometry

The structure in extended XYZ format:
```
5
Lattice="4.514 0.000 0.000 0.000 4.514 0.000 0.000 0.000 4.514" Properties=species:S:1:pos:R:3 pbc="T T T"
Ge 0.000 0.000 0.000
Pd 2.257 2.257 2.257
Rh 0.000 0.000 2.257
Rh 0.000 2.257 0.000
Rh 2.257 0.000 0.000
```

Computed properties:
symmetry	No. 221
formation enthalpy at 0 K	3.58	eV per formula unit
spin magnetization	0.4368	μB/atom
polymorph energy (0 for the lowest one)	0.000	eV/atom